# LiSc2Ni

A relaxed structure of LiSc2Ni (PBE, the Alexandria database).

* DFT formation energy: 0.462 eV per formula unit
* spin magnetization: 0.2588 μB per atom
* space-group type: I-42d, No. 122

Cell: 7.2985 7.2985 5.9368 Å, 52.07 52.07 90.00°
Closest atoms and distances in Å follow each position.
Positions (direct):
Sc: 0.8750 0.9173 0.7500  2 Ni 2.48
Sc: 0.6673 0.1250 0.2500  2 Ni 2.48
Sc: 0.0827 0.6250 0.2500  2 Ni 2.48
Sc: 0.3750 0.3327 0.7500  2 Ni 2.48
Ni: 0.7500 0.2500 0.5000  4 Sc 2.48
Ni: 0.0000 0.0000 0.0000  4 Sc 2.48
Li: 0.2500 0.7500 0.5000  8 Sc 2.90-3.24, 2 Ni 2.93
Li: 0.5000 0.5000 0.0000  8 Sc 2.90-3.24, 2 Ni 2.93